VASP calculation (meta-GGA SCAN) on KBa2Mn at its PBEsol-relaxed geometry.

Summary:
As for the calculated density: 3517 kg/m³. The calculated formation energy is 1.4 eV per formula unit. Its excess energy over the best structure of this formula in the dataset is 29 meV/atom. The total magnetization comes out at 3.7 μB/cell.

Geometry as extended XYZ:
```
4
Lattice="-0.768 0.062 -4.620 -1.858 -5.802 0.231 -5.726 1.852 0.977" Properties=species:S:1:pos:R:3 pbc="T T T"
Ba -2.863 0.926 0.488
Ba -0.929 -2.901 0.115
K -0.384 0.031 -2.310
Mn -4.176 -1.944 -1.706
```